Compound: TbIn2Pd8
Source: the Alexandria database
Functional: GGA-PBE
Structure: relaxed

a b c (Å): 7.578 7.578 6.529
angles (deg): 107.02 107.02 31.98
Element x y z (fractional)
Tb (0.000, 0.000, 0.000)
In (0.280, 0.280, 0.342)
In (0.720, 0.720, 0.658)
Pd (0.094, 0.094, 0.464)
Pd (0.180, 0.180, 0.915)
Pd (0.358, 0.358, 0.802)
Pd (0.460, 0.460, 0.278)
Pd (0.540, 0.540, 0.722)
Pd (0.642, 0.642, 0.198)
Pd (0.820, 0.820, 0.085)
Pd (0.906, 0.906, 0.536)

Results
space group: C2/m (12)
final energy: -5.25 eV per atom

***

Compound: NbCrWC2
Source: the Alexandria database
Functional: GGA-PBE
Structure: relaxed

a b c (Å): 4.028 4.028 5.167
angles (deg): 90.00 90.00 90.00
Element x y z (fractional)
Nb (0.000, 0.000, 0.000)
Cr (0.500, 0.500, 0.500)
W (0.000, 0.000, 0.500)
C (0.000, 0.500, 0.000)
C (0.500, 0.000, 0.000)

Results
space group: P4/mmm (123)
final energy: -7.66 eV per atom

***

Compound: Pr5SmY3
Source: the Alexandria database
Functional: GGA-PBE
Structure: relaxed

a b c (Å): 8.351 8.351 11.619
angles (deg): 109.99 109.99 87.74
Element x y z (fractional)
Pr (0.007, 0.007, 0.373)
Pr (0.062, 0.547, 0.356)
Pr (0.187, 0.187, 0.922)
Pr (0.234, 0.766, 0.000)
Pr (0.453, 0.938, 0.644)
Pr (0.547, 0.062, 0.356)
Pr (0.766, 0.234, 0.000)
Pr (0.813, 0.813, 0.078)
Pr (0.938, 0.453, 0.644)
Pr (0.993, 0.993, 0.627)
Sm (0.412, 0.412, 0.206)
Sm (0.588, 0.588, 0.794)
Y (0.152, 0.152, 0.211)
Y (0.292, 0.292, 0.634)
Y (0.500, 0.500, 0.000)
Y (0.500, 0.500, 0.500)
Y (0.708, 0.708, 0.366)
Y (0.848, 0.848, 0.789)

Results
space group: C2/m (12)
offset from the most stable computed form: 27.0 kJ per mole of atoms

***

Compound: SmZnGa2Ni2
Source: the Alexandria database
Functional: GGA-PBE
Structure: relaxed

a b c (Å): 4.394 4.394 5.535
angles (deg): 90.00 90.00 90.00
Element x y z (fractional)
Sm (0.000, 0.000, 0.000)
Zn (0.000, 0.000, 0.500)
Ga (0.500, 0.500, 0.248)
Ga (0.500, 0.500, 0.752)
Ni (0.000, 0.500, 0.500)
Ni (0.500, 0.000, 0.500)

Results
space group: P4/mmm (123)
final energy: -4.15 eV per atom

***

Compound: La2BeBiC
Source: the Alexandria database
Functional: GGA-PBE
Structure: relaxed

a b c (Å): 5.672 5.672 3.520
angles (deg): 90.00 90.00 90.00
Element x y z (fractional)
La (0.000, 0.500, 0.000)
La (0.500, 0.000, 0.000)
Be (0.000, 0.000, 0.500)
Bi (0.500, 0.500, 0.500)
C (0.000, 0.000, 0.000)

Results
space group: P4/mmm (123)
offset from the most stable computed form: 0.0 kJ per mole of atoms

***

Compound: Mn2GaTe4
Source: the Alexandria database
Functional: GGA-PBE
Structure: relaxed

a b c (Å): 13.587 4.221 14.363
angles (deg): 90.00 90.00 90.00
Element x y z (fractional)
Mn (0.096, 0.250, 0.069)
Mn (0.134, 0.250, 0.704)
Mn (0.366, 0.750, 0.204)
Mn (0.404, 0.750, 0.569)
Mn (0.596, 0.250, 0.431)
Mn (0.634, 0.250, 0.796)
Mn (0.866, 0.750, 0.296)
Mn (0.904, 0.750, 0.931)
Ga (0.143, 0.250, 0.398)
Ga (0.357, 0.750, 0.898)
Ga (0.643, 0.250, 0.102)
Ga (0.857, 0.750, 0.602)
Te (0.030, 0.250, 0.879)
Te (0.047, 0.750, 0.603)
Te (0.226, 0.250, 0.237)
Te (0.236, 0.750, 0.037)
Te (0.264, 0.250, 0.537)
Te (0.274, 0.750, 0.737)
Te (0.453, 0.250, 0.103)
Te (0.470, 0.750, 0.379)
Te (0.530, 0.250, 0.621)
Te (0.547, 0.750, 0.897)
Te (0.726, 0.250, 0.263)
Te (0.736, 0.750, 0.463)
Te (0.764, 0.250, 0.963)
Te (0.774, 0.750, 0.763)
Te (0.953, 0.250, 0.397)
Te (0.970, 0.750, 0.121)

Results
space group: Pnma (62)
raw formation energy: -0.07 eV/atom
offset from the most stable computed form: 12.8 kJ per mole of atoms

***

Compound: LiCe2Ga4Pd3
Source: the Alexandria database
Functional: GGA-PBE
Structure: relaxed

a b c (Å): 4.198 4.198 10.946
angles (deg): 90.00 90.00 90.00
Element x y z (fractional)
Li (0.000, 0.000, 0.000)
Ce (0.000, 0.500, 0.739)
Ce (0.500, 0.000, 0.261)
Ga (0.000, 0.000, 0.500)
Ga (0.000, 0.500, 0.133)
Ga (0.500, 0.000, 0.867)
Ga (0.500, 0.500, 0.500)
Pd (0.000, 0.500, 0.363)
Pd (0.500, 0.000, 0.637)
Pd (0.500, 0.500, 0.000)

Results
space group: P-4m2 (115)
final energy: -4.80 eV per atom

***

Compound: HfRuS3
Source: the Alexandria database
Functional: GGA-PBE
Structure: relaxed

a b c (Å): 4.546 4.546 4.546
angles (deg): 90.00 90.00 90.00
Element x y z (fractional)
Hf (0.000, 0.000, 0.000)
Ru (0.500, 0.500, 0.500)
S (0.000, 0.500, 0.500)
S (0.500, 0.000, 0.500)
S (0.500, 0.500, 0.000)

Results
space group: Pm-3m (221)
raw formation energy: 0.16 eV/atom
offset from the most stable computed form: 0.6 kJ per mole of atoms

***

| no. | density (g cm⁻³) |
| --- | --- |
| 1 | 10.89 |
| 2 | 6.99 |
| 3 | 5.23 |
| 4 | 7.35 |
| 5 | 7.45 |
| 6 | 5.56 |
| 7 | 7.62 |
| 8 | 6.64 |